# CaPr6Y

Crystalline CaPr6Y at its relaxed geometry (PBE, Alexandria via LeMat-Bulk).

**Final energy**: -36.89 eV/cell
**D(E_F)**: 1.482 states/eV/atom

Cell: 5.2383 5.2383 10.4958 Å, 90.00 90.00 90.00°
Closest atoms and distances in Å follow each position.
Fractional positions:
Ca (0.0000, 0.0000, 0.0000)  12 Pr 3.70-3.75
Pr (0.5000, 0.5000, 0.0000)  4 Ca 3.70, 8 Pr 3.75
Pr (0.5000, 0.5000, 0.5000)  8 Pr 3.66, 4 Y 3.70
Pr (0.5000, 0.0000, 0.2559)  8 Pr 3.66-3.75, 2 Y 3.66, 2 Ca 3.75
Pr (0.5000, 0.0000, 0.7441)  8 Pr 3.66-3.75, 2 Y 3.66, 2 Ca 3.75
Pr (0.0000, 0.5000, 0.2559)  8 Pr 3.66-3.75, 2 Y 3.66, 2 Ca 3.75
Pr (0.0000, 0.5000, 0.7441)  8 Pr 3.66-3.75, 2 Y 3.66, 2 Ca 3.75
Y (0.0000, 0.0000, 0.5000)  12 Pr 3.66-3.70